[1]
Material: SbTeOs2
Method: DFT, PBE
State: optimized geometry

Values from the calculation:
Energy relative to the elements, uncorrected in kcal/mol of atoms: 17.2
Crystal system: monoclinic
Excess energy over the best structure of this formula in the dataset in meV per atom: 355
Spin magnetization in μB/atom: 0.000

Structure (CIF):
```
data_SbTeOs2
_chemical_formula_sum 'Sb2 Te2 Os4'
_cell_length_a 9.866
_cell_length_b 3.199
_cell_length_c 4.741
_cell_angle_alpha 90.00
_cell_angle_beta 101.06
_cell_angle_gamma 90.00
_symmetry_space_group_name_H-M 'C 1 m 1'
_symmetry_Int_Tables_number 8
loop_
_symmetry_equiv_pos_as_xyz
'x,y,z'
'x,-y,z'
'x+1/2,y+1/2,z'
'x+1/2,-y+1/2,z'
loop_
_atom_site_label
_atom_site_fract_x
_atom_site_fract_y
_atom_site_fract_z
Sb1 0.000 0.000 0.000
Te1 0.235 0.000 0.603
Os1 0.241 0.500 0.146
Os2 0.493 0.000 0.484
```

[2]
Material: MgCo2Si
Method: DFT, PBE
State: optimized geometry

Values from the calculation:
Energy relative to the elements, uncorrected in kcal/mol of atoms: -6.0
Crystal system: tetragonal
Spin magnetization in μB/atom: 0.000

Structure (CIF):
```
data_MgCo2Si
_chemical_formula_sum 'Mg1 Co2 Si1'
_cell_length_a 4.017
_cell_length_b 4.017
_cell_length_c 2.888
_cell_angle_alpha 90.00
_cell_angle_beta 90.00
_cell_angle_gamma 90.00
_symmetry_space_group_name_H-M 'P 4/m m m'
_symmetry_Int_Tables_number 123
_symmetry_space_group_name_Hall '-P 4 2'
loop_
_atom_site_label
_atom_site_fract_x
_atom_site_fract_y
_atom_site_fract_z
Mg1 0.000 0.000 0.000
Co1 0.000 0.500 0.500
Si1 0.500 0.500 0.000
```

[3]
Material: Y2AlAg
Method: DFT, PBE
State: optimized geometry

Values from the calculation:
ΔE_f in kJ/mol of formula units: 15
Crystal system: cubic
Spin magnetization in μB/atom: 0.001

Structure (CIF):
```
data_Y2AlAg
_chemical_formula_sum 'Y8 Al4 Ag4'
_cell_length_a 7.237
_cell_length_b 7.237
_cell_length_c 7.237
_cell_angle_alpha 90.00
_cell_angle_beta 90.00
_cell_angle_gamma 90.00
_symmetry_space_group_name_H-M 'F -4 3 m'
_symmetry_Int_Tables_number 216
_symmetry_space_group_name_Hall 'F -4 2 3'
loop_
_atom_site_label
_atom_site_fract_x
_atom_site_fract_y
_atom_site_fract_z
Y1 0.000 0.000 0.000
Y2 0.250 0.250 0.250
Al1 0.000 0.000 0.500
Ag1 0.250 0.250 0.750
```

[4]
Material: CsRbSiAs2
Method: DFT, PBE
State: optimized geometry

Values from the calculation:
Energy relative to the elements, uncorrected in kcal/mol of atoms: -1.6
Crystal system: orthorhombic
Spin magnetization in μB/atom: 0.000

Structure (CIF):
```
data_CsRbSiAs2
_chemical_formula_sum 'Cs2 Rb2 Si2 As4'
_cell_length_a 6.579
_cell_length_b 6.998
_cell_length_c 8.164
_cell_angle_alpha 90.00
_cell_angle_beta 90.00
_cell_angle_gamma 90.00
_symmetry_space_group_name_H-M 'P m m a'
_symmetry_Int_Tables_number 51
loop_
_symmetry_equiv_pos_as_xyz
'x,y,z'
'-x,-y,-z'
'-x+1/2,-y,z'
'x+1/2,y,-z'
'x+1/2,-y,-z'
'-x+1/2,y,z'
'-x,y,-z'
'x,-y,z'
loop_
_atom_site_label
_atom_site_fract_x
_atom_site_fract_y
_atom_site_fract_z
Cs1 0.250 0.000 0.165
Rb1 0.250 0.500 0.393
Si1 0.000 0.500 0.000
As1 0.250 0.319 0.812
```

[5]
Material: LaTlCoRe2
Method: DFT, PBE
State: optimized geometry

Values from the calculation:
ΔE_f in kJ/mol of formula units: 928
Crystal system: tetragonal
Spin magnetization in μB/atom: 0.915

Structure (CIF):
```
data_LaTlCoRe2
_chemical_formula_sum 'La1 Tl1 Co1 Re2'
_cell_length_a 5.092
_cell_length_b 5.092
_cell_length_c 4.734
_cell_angle_alpha 90.00
_cell_angle_beta 90.00
_cell_angle_gamma 90.00
_symmetry_space_group_name_H-M 'P 4/m m m'
_symmetry_Int_Tables_number 123
_symmetry_space_group_name_Hall '-P 4 2'
loop_
_atom_site_label
_atom_site_fract_x
_atom_site_fract_y
_atom_site_fract_z
La1 0.000 0.000 0.000
Tl1 0.500 0.500 0.500
Co1 0.500 0.500 0.000
Re1 0.000 0.500 0.500
```

[6]
Material: Zr2SbMo
Method: DFT, PBE
State: optimized geometry

Values from the calculation:
Energy relative to the elements, uncorrected in kcal/mol of atoms: -1.9
Crystal system: trigonal
Spin magnetization in μB/atom: 0.000

Structure (CIF):
```
data_Zr2SbMo
_chemical_formula_sum 'Zr6 Sb3 Mo3'
_cell_length_a 3.3569
_cell_length_b 3.3569
_cell_length_c 26.5009
_cell_angle_alpha 90.00
_cell_angle_beta 90.00
_cell_angle_gamma 120.00
_symmetry_space_group_name_H-M 'R -3 m'
_symmetry_Int_Tables_number 166
_symmetry_space_group_name_Hall '-R 3 2"'
loop_
_atom_site_label
_atom_site_fract_x
_atom_site_fract_y
_atom_site_fract_z
Zr1 0.0000 0.0000 0.2425
Sb1 0.0000 0.0000 0.0000
Mo1 0.0000 0.0000 0.5000
```

[7]
Material: Sr4Sn3O10
Method: DFT, PBE
State: optimized geometry

Values from the calculation:
Energy relative to the elements, uncorrected in kcal/mol of atoms: -52.1
Crystal system: tetragonal
Spin magnetization in μB/atom: 0.000

Structure (CIF):
```
data_Sr4Sn3O10
_chemical_formula_sum 'Sr8 Sn6 O20'
_cell_length_a 4.118
_cell_length_b 4.118
_cell_length_c 29.057
_cell_angle_alpha 90.00
_cell_angle_beta 90.00
_cell_angle_gamma 90.00
_symmetry_space_group_name_H-M 'I 4/m m m'
_symmetry_Int_Tables_number 139
_symmetry_space_group_name_Hall '-I 4 2'
loop_
_atom_site_label
_atom_site_fract_x
_atom_site_fract_y
_atom_site_fract_z
Sr1 0.000 0.000 0.070
Sr2 0.000 0.000 0.204
Sn1 0.000 0.000 0.358
Sn2 0.000 0.000 0.500
O1 0.000 0.000 0.287
O2 0.000 0.000 0.429
O3 0.000 0.500 0.000
O4 0.000 0.500 0.140
```

[8]
Material: Nd2MgIn3
Method: DFT, PBE
State: optimized geometry

Values from the calculation:
ΔE_f in kJ/mol of formula units: -257
Crystal system: orthorhombic
Excess energy over the best structure of this formula in the dataset in meV per atom: 0
Spin magnetization in μB/atom: 0.000

Structure (CIF):
```
data_Nd2MgIn3
_chemical_formula_sum 'Nd16 Mg8 In24'
_cell_length_a 7.447
_cell_length_b 10.031
_cell_length_c 17.325
_cell_angle_alpha 90.00
_cell_angle_beta 90.00
_cell_angle_gamma 90.00
_symmetry_space_group_name_H-M 'F m m m'
_symmetry_Int_Tables_number 69
_symmetry_space_group_name_Hall '-F 2 2'
loop_
_atom_site_label
_atom_site_fract_x
_atom_site_fract_y
_atom_site_fract_z
Nd1 0.248 0.000 0.000
Nd2 0.250 0.250 0.250
Mg1 0.000 0.000 0.333
In1 0.000 0.000 0.168
In2 0.000 0.248 0.416
```

Which density of states at the Fermi level belongs to each record? In order, 3.51, 1.91, 4.90, 0.59, 6.98, 3.68, 0.00, 3.97 states/eV/f.u..